First-principles (GGA-PBE) data for an optimized crystal structure of Pm5Ga4Cu, as listed in the Alexandria database.

Properties
N(E_F) in states/eV/f.u.: 7.651
Formation energy in eV per formula unit: -4.79

```
Pm5Ga4Cu
1.0
-3.337 -0.552 -1.179
1.229 -0.267 -3.354
2.274 -18.718 2.323
Pm Ga Cu
5 4 1
direct
0.500 0.500 0.703
0.500 0.500 0.500
0.500 0.500 0.096
0.500 0.500 0.297
0.500 0.500 0.904
0.000 0.000 0.194
0.000 0.000 0.806
0.000 0.000 0.601
0.000 0.000 0.399
0.000 0.000 0.000
```

***

First-principles (GGA-PBE) data for an optimized crystal structure of Nd6Y8In, as listed in the Alexandria database.

Properties
N(E_F) in states/eV/f.u.: 18.899
Formation energy in eV per formula unit: 0.88

```
Nd6Y8In
1.0
6.405 0.000 0.000
0.000 8.267 -4.773
0.000 0.000 9.546
Nd Y In
6 8 1
direct
0.685 0.452 0.362
0.685 0.638 0.090
0.315 0.548 0.638
0.315 0.090 0.452
0.315 0.362 0.910
0.685 0.910 0.548
0.829 0.333 0.667
0.191 0.962 0.738
0.171 0.667 0.333
0.191 0.262 0.224
0.191 0.776 0.038
0.809 0.038 0.262
0.809 0.738 0.776
0.809 0.224 0.962
0.500 0.000 0.000
```